Entry 1:
A plane-wave DFT calculation with PBE-GGA was carried out for Mg4Cd5Au2 after structural relaxation.

Structure (CIF):
```
data_Mg4Cd5Au2
_chemical_formula_sum 'Mg4 Cd5 Au2'
_symmetry_space_group_name_H-M 'P 1 2/m 1'
_symmetry_Int_Tables_number 10
_cell_length_a 7.592
_cell_length_b 3.290
_cell_length_c 9.421
_cell_angle_alpha 90.00
_cell_angle_beta 94.75
_cell_angle_gamma 90.00
loop_
_symmetry_equiv_pos_as_xyz
'x,y,z'
'-x,-y,-z'
'-x,y,-z'
'x,-y,z'
loop_
_atom_site_label
_atom_site_fract_x
_atom_site_fract_y
_atom_site_fract_z
Mg1 0.188 0.000 0.369
Mg2 0.220 0.000 0.937
Cd1 0.172 0.500 0.645
Cd2 0.466 0.500 0.168
Cd3 0.500 0.500 0.500
Au1 0.082 0.500 0.144
```


Entry 2:
A plane-wave DFT calculation with PBE-GGA was carried out for Mg2CdAu after structural relaxation.

Output
The calculation puts the energy above the most stable polymorph in this dataset at 16.1 kJ/mol of atoms.

Structure (CIF):
```
data_Mg2CdAu
_chemical_formula_sum 'Mg6 Cd3 Au3'
_symmetry_space_group_name_H-M 'R -3 m'
_symmetry_Int_Tables_number 166
_symmetry_space_group_name_Hall '-R 3 2"'
_cell_length_a 3.3010
_cell_length_b 3.3010
_cell_length_c 26.9683
_cell_angle_alpha 90.00
_cell_angle_beta 90.00
_cell_angle_gamma 120.00
loop_
_atom_site_label
_atom_site_fract_x
_atom_site_fract_y
_atom_site_fract_z
Mg1 0.0000 0.0000 0.2424
Cd1 0.0000 0.0000 0.0000
Au1 0.0000 0.0000 0.5000
```


Formation energy (eV/atom)
-0.2490 -0.1993
Total magnetization (μB/atom)
0.0000 0.0000